No. 1
## Ti4BeO2 (GGA-PBE)

Data for crystalline Ti4BeO2 at its relaxed geometry.

Cell and atoms, written as POSCAR:
```
Ti4BeO2
1.0
3.0850 0.0000 0.0000
-1.5425 5.0617 0.0000
0.0000 0.0000 10.4511
Be O Ti
2 4 8
direct
0.6055 0.2110 0.7500
0.3945 0.7890 0.2500
0.1331 0.2661 0.4378
0.8669 0.7339 0.9378
0.1331 0.2661 0.0622
0.8669 0.7339 0.5622
0.7694 0.5389 0.1152
0.7694 0.5389 0.3848
0.2306 0.4611 0.8848
0.2306 0.4611 0.6152
0.9276 0.8552 0.7500
0.0724 0.1448 0.2500
0.5000 0.0000 0.0000
0.5000 0.0000 0.5000
```

Energy relative to the elements, uncorrected, eV/atom: -1.56
SG: No. 63



No. 2
## KHfAl (GGA-PBE)

Data for crystalline KHfAl at its relaxed geometry.

Cell and atoms, written as POSCAR:
```
KHfAl
1.0
-3.2607 -2.7921 3.3663
3.1026 -4.0299 -0.3372
7.1342 4.5955 10.7220
K Hf Al
4 4 4
direct
0.7510 0.2500 0.5297
0.7490 0.7500 0.0297
0.2490 0.7500 0.4703
0.2510 0.2500 0.9703
0.4972 0.2500 0.2502
0.0028 0.7500 0.7502
0.5028 0.7500 0.7498
0.9972 0.2500 0.2498
0.7526 0.2500 0.7874
0.7474 0.7500 0.2874
0.2474 0.7500 0.2126
0.2526 0.2500 0.7126
```

Excess energy over the best structure of this formula in the dataset, eV/f.u.: 0.000
Formation energy, eV/atom: 0.409
SG: No. 62



No. 3
## BaPmNbN3 (GGA-PBE)

Data for crystalline BaPmNbN3 at its relaxed geometry.

Cell and atoms, written as POSCAR:
```
BaPmNbN3
1.0
-0.8592 -1.3286 3.7655
5.4282 -4.1534 -2.4420
3.5182 6.2770 3.0176
Ba Pm Nb N
2 2 2 6
direct
0.3515 0.7030 0.9228
0.6485 0.2970 0.0772
0.6569 0.3138 0.5766
0.3431 0.6862 0.4234
0.0016 0.0031 0.3009
0.9984 0.9969 0.6991
0.8519 0.7039 0.2016
0.8407 0.6815 0.6515
0.5051 0.0101 0.3209
0.1593 0.3185 0.3485
0.4949 0.9899 0.6791
0.1481 0.2961 0.7984
```

Energy relative to the elements, uncorrected, eV/atom: -0.91
SG: No. 12



No. 4
## Ac3Ga4Ag4 (GGA-PBE)

Data for crystalline Ac3Ga4Ag4 at its relaxed geometry.

Cell and atoms, written as POSCAR:
```
Ac3Ga4Ag4
1.0
-1.5021 -1.5198 4.0910
-2.7893 -2.7950 -2.0625
11.6622 -7.3201 -1.0409
Ac Ga Ag
3 4 4
direct
0.3514 0.8514 0.7027
0.6486 0.1486 0.2973
0.0000 0.0000 0.0000
0.8036 0.3036 0.6071
0.4523 0.4523 0.9047
0.5477 0.5477 0.0953
0.1964 0.6964 0.3929
0.2505 0.2505 0.5010
0.0976 0.5976 0.1951
0.9024 0.4024 0.8049
0.7495 0.7495 0.4990
```

Formation energy, eV/atom: -0.415
SG: No. 71



No. 5
## MgGaB3 (GGA-PBE)

Data for crystalline MgGaB3 at its relaxed geometry.

Cell and atoms, written as POSCAR:
```
MgGaB3
1.0
-2.5617 -0.7630 -3.4582
-0.3420 -4.1948 1.1789
-3.5248 0.9615 2.3989
Mg B Ga
1 3 1
direct
0.0000 0.0000 0.0000
0.0000 0.5000 0.0000
0.0000 0.0000 0.5000
0.5000 0.0000 0.0000
0.5000 0.5000 0.5000
```

Excess energy over the best structure of this formula in the dataset, eV/f.u.: 2.568
Formation energy, eV/atom: 2.172
SG: No. 221



No. 6
## SrBr (GGA-PBE)

Data for crystalline SrBr at its relaxed geometry.

Cell and atoms, written as POSCAR:
```
SrBr
1.0
-6.4999 -1.1902 1.9339
3.4352 -4.7382 -3.6268
3.0680 -3.8533 7.9401
Sr Br
4 4
direct
0.0000 0.0000 0.2500
0.0000 0.0000 0.7500
0.3333 0.6667 0.7500
0.6667 0.3333 0.2500
0.3333 0.6667 0.0607
0.6667 0.3333 0.5607
0.6667 0.3333 0.9393
0.3333 0.6667 0.4393
```

Energy relative to the elements, uncorrected, eV/atom: -0.89
SG: No. 194



No. 7
## SrRu2Cl (GGA-PBE)

Data for crystalline SrRu2Cl at its relaxed geometry.

Cell and atoms, written as POSCAR:
```
SrRu2Cl
1.0
6.7889 0.0030 -0.0049
4.7419 4.8583 0.0049
-5.7627 -2.4373 2.6346
Cl Ru Sr
1 2 1
direct
0.2500 0.7500 0.5000
0.0000 0.0000 0.0000
0.5000 0.5000 0.0000
0.7500 0.2500 0.5000
```

Excess energy over the best structure of this formula in the dataset, eV/f.u.: 1.181
Energy relative to the elements, uncorrected, eV/atom: 0.19
SG: No. 139



No. 8
## Zr2AlBr (GGA-PBE)

Data for crystalline Zr2AlBr at its relaxed geometry.

Cell and atoms, written as POSCAR:
```
Zr2AlBr
1.0
-0.0619 -4.1983 0.7354
0.0991 -0.7366 -4.1974
10.0941 -2.5711 -1.4750
Br Zr Al
2 4 2
direct
0.0000 0.0000 0.0000
0.7500 0.2500 0.5000
0.6193 0.1250 0.2500
0.1307 0.6250 0.2500
0.3750 0.3807 0.7500
0.8750 0.8693 0.7500
0.5000 0.5000 0.0000
0.2500 0.7500 0.5000
```

Excess energy over the best structure of this formula in the dataset, eV/f.u.: 2.176
Energy relative to the elements, uncorrected, eV/atom: 0.18
SG: No. 122



| no. | density (g/cm³) | magnetization (μB per atom) |
| --- | --- | --- |
| 1 | 4.731 | 0.000 |
| 2 | 4.273 | 0.109 |
| 3 | 6.472 | 0.000 |
| 4 | 8.366 | 0.000 |
| 5 | 2.515 | 0.000 |
| 6 | 2.901 | 0.000 |
| 7 | 6.217 | 0.000 |
| 8 | 5.247 | 0.000 |